Below is a PBEsol-optimized structure of BeCoIr2, with properties calculated at the SCAN level.

Lattice parameters (Å, degrees): 2.8094 4.0601 4.0601 90.00 90.00 90.00
Fractional coordinates of all 4 atoms:
1 Co 0.5000 0.0000 0.0000
2 Ir 0.0000 0.0000 0.5000
3 Be 0.5000 0.5000 0.5000
4 Ir 0.0000 0.5000 0.0000

For the theoretical density, the calculation gives 16.22 g/cm3. As for the space group: P4/mmm, No. 123. The calculation puts the total DFT energy (no corrections) at -41.20 eV/atom. For the density of states at the Fermi level, the calculation gives 2.50 states/eV per cell.